InPt2Se PBEsol relaxed; space group = No. 119; total DFT energy (no corrections) = -5.2589 eV/atom; formation energy without anion corrections = -0.069 eV per atom; magnetic moment = 0.00 μB/f.u.; N(E_F) = 1.767 states/eV/cell
1.0
3.939 0.000 0.000
0.000 3.939 0.000
-1.969 -1.969 4.386
Pt In Se
2 1 1
Direct
0.000 0.000 0.000
0.750 0.250 0.500
0.250 0.750 0.500
0.500 0.500 0.000